Record 1
Below is a relaxed structure of Sc2AlAg, with properties calculated at the GGA-PBE level.

Calculated total energy: -5.086 eV/atom
Space-group type: Imm2, No. 44
Crystal system: orthorhombic
Formation energy from the elements: -0.2720 eV per atom

Cell: 5.819 5.819 5.819 Å, 146.72 131.07 60.46°
Fractional positions:
Sc: 0.000 0.000 0.000
Sc: 0.725 0.225 0.500
Al: 0.460 0.460 0.000
Ag: 0.252 0.752 0.500


Record 2
Below is a relaxed structure of TiV5Ge6, with properties calculated at the GGA-PBE level.

Calculated total energy: -6.841 eV/atom
Space-group type: C2/m, No. 12
Crystal system: monoclinic
Formation energy from the elements: -0.0751 eV per atom

Cell: 7.143 7.143 5.601 Å, 93.05 93.05 140.58°
Fractional positions:
Ti: 0.000 0.000 0.000
V: 0.000 0.000 0.500
V: 0.334 0.666 0.000
V: 0.337 0.663 0.500
V: 0.663 0.337 0.500
V: 0.666 0.334 0.000
Ge: 0.163 0.823 0.257
Ge: 0.177 0.837 0.743
Ge: 0.493 0.493 0.749
Ge: 0.507 0.507 0.251
Ge: 0.823 0.163 0.257
Ge: 0.837 0.177 0.743


Record 3
Below is a relaxed structure of Y5Sc3Sb8, with properties calculated at the GGA-PBE level.

Calculated total energy: -6.336 eV/atom
Space-group type: R-3m, No. 166
Crystal system: trigonal

Cell: 8.615 8.615 8.615 Å, 60.04 60.04 60.04°
Fractional positions:
Y: 0.000 0.000 0.000
Y: 0.000 0.500 0.500
Y: 0.500 0.000 0.500
Y: 0.500 0.500 0.000
Y: 0.500 0.500 0.500
Sc: 0.000 0.000 0.500
Sc: 0.000 0.500 0.000
Sc: 0.500 0.000 0.000
Sb: 0.240 0.750 0.750
Sb: 0.245 0.245 0.245
Sb: 0.250 0.250 0.760
Sb: 0.250 0.760 0.250
Sb: 0.750 0.240 0.750
Sb: 0.750 0.750 0.240
Sb: 0.755 0.755 0.755
Sb: 0.760 0.250 0.250


Record 4
Below is a relaxed structure of Pm6TmSn3, with properties calculated at the GGA-PBE level.

Calculated total energy: -4.854 eV/atom
Space-group type: Cmc2_1, No. 36
Crystal system: orthorhombic
Formation energy from the elements: -0.3559 eV per atom

Cell: 9.476 9.476 7.702 Å, 90.00 90.00 108.76°
Fractional positions:
Pm: 0.047 0.953 0.500
Pm: 0.066 0.460 0.991
Pm: 0.252 0.327 0.671
Pm: 0.286 0.714 0.643
Pm: 0.327 0.252 0.171
Pm: 0.460 0.066 0.491
Pm: 0.540 0.934 0.991
Pm: 0.673 0.748 0.671
Pm: 0.714 0.286 0.143
Pm: 0.748 0.673 0.171
Pm: 0.934 0.540 0.491
Pm: 0.953 0.047 0.000
Tm: 0.198 0.802 0.175
Tm: 0.802 0.198 0.675
Sn: 0.020 0.264 0.344
Sn: 0.264 0.020 0.844
Sn: 0.423 0.577 0.966
Sn: 0.577 0.423 0.466
Sn: 0.736 0.980 0.344
Sn: 0.980 0.736 0.844